Record 1
# NaLa2BiRh

NaLa2BiRh after structural relaxation (GGA-PBE, Alexandria).

The density of states at the Fermi level is 1.294 states/eV/atom. As for the energy of formation from the pure elements: 0.75 eV per atom.

The structure belongs to space group P4/mmm (No. 123); the cell edges are 5.596, 5.596 and 5.015 Å and the angles 90.00°, 90.00° and 90.00°. The distinct sites, in fractional coordinates, are Na at (0.000, 0.000, 0.000), La at (0.000, 0.500, 0.000), Bi at (0.000, 0.000, 0.500) and Rh at (0.500, 0.500, 0.500).


Record 2
# Sc2ReW

Sc2ReW after structural relaxation (GGA-PBE, Alexandria).

The density of states at the Fermi level is 1.147 states/eV/atom. Its energy relative to the lowest polymorph listed for this composition is 0.2903 eV per atom. As for the energy of formation from the pure elements: 0.23 eV per atom.

The structure belongs to space group R3m (No. 160, hexagonal axes); the cell edges are 3.0383, 3.0383 and 28.5222 Å and the angles 90.00°, 90.00° and 120.00°. The distinct sites, in fractional coordinates, are Sc at (0.0000, 0.0000, 0.0000), Sc at (0.0000, 0.0000, 0.2292), Re at (0.0000, 0.0000, 0.4847) and W at (0.0000, 0.0000, 0.7478).


Record 3
# Ca2In9Sn

Ca2In9Sn after structural relaxation (GGA-PBE, Alexandria).

The density of states at the Fermi level is 0.254 states/eV/atom. As for the energy of formation from the pure elements: -0.20 eV per atom.

The structure belongs to space group P4/mmm (No. 123); the cell edges are 4.753, 4.753 and 14.156 Å and the angles 90.00°, 90.00° and 90.00°. The distinct sites, in fractional coordinates, are Ca at (0.000, 0.000, 0.167), In at (0.000, 0.500, 0.000), In at (0.000, 0.500, 0.334), In at (0.500, 0.500, 0.161), In at (0.500, 0.500, 0.500) and Sn at (0.000, 0.000, 0.500).


Record 4
# Sc3ReI

Sc3ReI after structural relaxation (GGA-PBE, Alexandria).

The density of states at the Fermi level is 1.071 states/eV/atom. Its energy relative to the lowest polymorph listed for this composition is 0.0000 eV per atom. The uncorrected formation energy comes out at 0.200 eV per atom.

The structure belongs to space group Pm-3m (No. 221); the cell edges are 5.153, 5.153 and 5.153 Å and the angles 90.00°, 90.00° and 90.00°. The distinct sites, in fractional coordinates, are Sc at (0.000, 0.000, 0.500), Re at (0.000, 0.000, 0.000) and I at (0.500, 0.500, 0.500).


Record 5
# Ca2Cd2InAg5

Ca2Cd2InAg5 after structural relaxation (GGA-PBE, Alexandria).

The density of states at the Fermi level is 0.441 states/eV/atom. As for the energy of formation from the pure elements: -0.15 eV per atom.

The structure belongs to space group P4/mbm (No. 127); the cell edges are 10.599, 10.599 and 4.085 Å and the angles 90.00°, 90.00° and 90.00°. The distinct sites, in fractional coordinates, are Ca at (0.174, 0.326, 0.000), Cd at (0.125, 0.625, 0.000), In at (0.000, 0.000, 0.000), Ag at (0.000, 0.500, 0.500) and Ag at (0.054, 0.804, 0.500).


Record 6
# LaThH4

LaThH4 after structural relaxation (GGA-PBE, Alexandria).

The density of states at the Fermi level is 0.179 states/eV/atom. The uncorrected energy is -4.89 eV/atom.

The structure belongs to space group I4_1/amd (No. 141, origin choice 2); the cell edges are 5.526, 5.526 and 11.105 Å and the angles 90.00°, 90.00° and 90.00°. The distinct sites, in fractional coordinates, are La at (0.000, 0.250, 0.375), Th at (0.000, 0.250, 0.875) and H at (0.237, 0.000, 0.000).


Record 7
# Sm5Er2Ru4

Sm5Er2Ru4 after structural relaxation (GGA-PBE, Alexandria).

The density of states at the Fermi level is 1.215 states/eV/atom. As for the energy of formation from the pure elements: 0.07 eV per atom.

The structure belongs to space group C2/m (No. 12); the cell edges are 23.139, 3.875 and 6.956 Å and the angles 90.00°, 107.33° and 90.00°. The distinct sites, in fractional coordinates, are Sm at (0.000, 0.000, 0.000), Sm at (0.122, 0.500, 0.866), Sm at (0.125, 0.500, 0.386), Er at (0.236, 0.000, 0.745), Ru at (0.002, 0.500, 0.319) and Ru at (0.063, 0.000, 0.564).


Record 8
# FeAu

FeAu after structural relaxation (GGA-PBE, Alexandria).

The density of states at the Fermi level is 0.836 states/eV/atom. As for the energy of formation from the pure elements: 0.41 eV per atom.

The structure belongs to space group Fddd (No. 70, origin choice 2); the cell edges are 6.951, 7.631 and 10.056 Å and the angles 90.00°, 90.00° and 90.00°. The distinct sites, in fractional coordinates, are Fe at (0.040, 0.375, 0.375) and Au at (0.125, 0.308, 0.625).


Record 9
# YAsPSe2

YAsPSe2 after structural relaxation (GGA-PBE, Alexandria).

The density of states at the Fermi level is 1.328 states/eV/atom. Its energy relative to the lowest polymorph listed for this composition is 0.7606 eV per atom. The uncorrected formation energy comes out at 0.473 eV per atom.

The structure belongs to space group P4/mmm (No. 123); the cell edges are 5.402, 5.402 and 5.679 Å and the angles 90.00°, 90.00° and 90.00°. The distinct sites, in fractional coordinates, are Y at (0.000, 0.000, 0.000), As at (0.000, 0.000, 0.500), P at (0.500, 0.500, 0.500) and Se at (0.000, 0.500, 0.000).


Record 10
# IrPtRhN2

IrPtRhN2 after structural relaxation (GGA-PBE, Alexandria).

The density of states at the Fermi level is 1.202 states/eV/atom. The uncorrected formation energy comes out at 1.614 eV per atom.

The structure belongs to space group P4/mmm (No. 123); the cell edges are 3.740, 3.740 and 5.355 Å and the angles 90.00°, 90.00° and 90.00°. The distinct sites, in fractional coordinates, are Ir at (0.000, 0.000, 0.000), Pt at (0.500, 0.500, 0.000), Rh at (0.500, 0.500, 0.500) and N at (0.000, 0.500, 0.500).


Record 11
# CuNiPS4

CuNiPS4 after structural relaxation (GGA-PBE, Alexandria).

The density of states at the Fermi level is 0.482 states/eV/atom. The uncorrected formation energy comes out at -0.098 eV per atom.

The structure belongs to space group Imma (No. 74); the cell edges are 6.899, 7.795 and 9.214 Å and the angles 90.00°, 90.00° and 90.00°. The distinct sites, in fractional coordinates, are Cu at (0.000, 0.000, 0.000), Ni at (0.250, 0.250, 0.250), P at (0.000, 0.250, 0.635), S at (0.000, 0.060, 0.238) and S at (0.247, 0.250, 0.507).


Record 12
# MgP2Pb

MgP2Pb after structural relaxation (GGA-PBE, Alexandria).

The density of states at the Fermi level is 0.667 states/eV/atom. As for the energy of formation from the pure elements: 0.26 eV per atom.

The structure belongs to space group I-4m2 (No. 119); the cell edges are 3.964, 3.964 and 10.808 Å and the angles 90.00°, 90.00° and 90.00°. The distinct sites, in fractional coordinates, are Mg at (0.000, 0.000, 0.000), P at (0.000, 0.000, 0.500), P at (0.000, 0.500, 0.750) and Pb at (0.000, 0.500, 0.250).